Density functional theory data (PBE-GGA) for a relaxed structure of HfScTlFe.

Electronic total energy   -0.2435 Ha/atom
ρ   11.1 g/cm3

a = 4.6736 Å, b = 4.6736 Å, c = 4.6736 Å
α = 60.00°, β = 60.00°, γ = 60.00°
Element x y z (fractional)
Hf 0.0000 0.0000 0.0000
Sc 0.2500 0.2500 0.2500
Tl 0.5000 0.5000 0.5000
Fe 0.7500 0.7500 0.7500